[1]
VASP calculation (GGA-PBE) on a geometry-optimized CsPmVS4 structure.

Formation energy (no corrections) (eV/atom): -1.400
Crystal system: monoclinic
M_tot (μB per cell): 2.00
Space group: P2_1/m, No. 11

Structure (CIF):
```
data_CsPmVS4
_cell_length_a 6.657
_cell_length_b 6.769
_cell_length_c 9.528
_cell_angle_alpha 90.00
_cell_angle_beta 108.01
_cell_angle_gamma 90.00
_space_group_name_H-M_alt 'P 1'
_space_group_IT_number 1
_space_group_name_Hall 'P 1'
loop_
_atom_site_label
_atom_site_type_symbol
_atom_site_fract_x
_atom_site_fract_y
_atom_site_fract_z
V1 V 0.769 0.250 0.661
V2 V 0.231 0.750 0.339
S1 S 0.999 0.499 0.695
S2 S 0.001 0.999 0.305
S3 S 0.425 0.750 0.569
S4 S 0.425 0.750 0.191
S5 S 0.575 0.250 0.431
S6 S 0.575 0.250 0.809
S7 S 0.001 0.501 0.305
S8 S 0.999 0.001 0.695
Pm1 Pm 0.220 0.250 0.544
Pm2 Pm 0.780 0.750 0.456
Cs1 Cs 0.267 0.250 0.061
Cs2 Cs 0.733 0.750 0.939
```



[2]
VASP calculation (GGA-PBE) on a geometry-optimized Cs2PmVS4 structure.

Formation energy (no corrections) (eV/atom): -1.219
Crystal system: orthorhombic
M_tot (μB per cell): 4.00
Space group: Fddd, No. 70

Structure (CIF):
```
data_Cs2PmVS4
_cell_length_a 6.499
_cell_length_b 8.008
_cell_length_c 13.380
_cell_angle_alpha 84.34
_cell_angle_beta 75.94
_cell_angle_gamma 66.06
_space_group_name_H-M_alt 'P 1'
_space_group_IT_number 1
_space_group_name_Hall 'P 1'
loop_
_atom_site_label
_atom_site_type_symbol
_atom_site_fract_x
_atom_site_fract_y
_atom_site_fract_z
S1 S 0.851 0.810 0.904
S2 S 0.565 0.190 0.096
S3 S 0.246 0.190 0.904
S4 S 0.899 0.690 0.596
S5 S 0.339 0.810 0.096
S6 S 0.504 0.310 0.596
S7 S 0.411 0.690 0.404
S8 S 0.185 0.310 0.404
V1 V 0.500 0.000 0.000
V2 V 0.250 0.500 0.500
Cs1 Cs 0.570 0.500 0.861
Cs2 Cs 0.180 0.000 0.639
Cs3 Cs 0.930 0.500 0.139
Cs4 Cs 0.820 0.000 0.361
Pm1 Pm 0.750 0.500 0.500
Pm2 Pm 0.000 0.000 0.000
```



[3]
VASP calculation (GGA-PBE) on a geometry-optimized Cs2Pm2VS6 structure.

Formation energy (no corrections) (eV/atom): -1.456
Crystal system: monoclinic
M_tot (μB per cell): 1.00
Space group: C2/m, No. 12

Structure (CIF):
```
data_Cs2Pm2VS6
_cell_length_a 6.825
_cell_length_b 6.825
_cell_length_c 8.539
_cell_angle_alpha 98.22
_cell_angle_beta 98.22
_cell_angle_gamma 119.26
_space_group_name_H-M_alt 'P 1'
_space_group_IT_number 1
_space_group_name_Hall 'P 1'
loop_
_atom_site_label
_atom_site_type_symbol
_atom_site_fract_x
_atom_site_fract_y
_atom_site_fract_z
S1 S 0.642 0.938 0.325
S2 S 0.938 0.642 0.325
S3 S 0.062 0.358 0.675
S4 S 0.358 0.062 0.675
S5 S 0.769 0.769 0.672
S6 S 0.231 0.231 0.328
Pm1 Pm 0.333 0.667 0.500
Pm2 Pm 0.667 0.333 0.500
V1 V 0.000 0.000 0.500
Cs1 Cs 0.172 0.828 0.000
Cs2 Cs 0.828 0.172 0.000
```